The following is a PBE calculation of crystalline SrCeTlSn at its relaxed geometry, from Alexandria via LeMat-Bulk.

Properties
Calculated formation energy, eV/f.u.: -1.613
V, Å³ per cell: 125.48
Calculated density, Mg/m³: 7.29
Magnetic moment, μB/f.u.: 1.06

POSCAR file:
```
SrCeTlSn
1.0
-3.0744 -4.6034 0.9675
-0.8300 -3.7398 -4.1114
2.4810 -5.0365 0.2400
Sr Tl Sn Ce
1 1 1 1
Direct
0.5000 0.5000 0.5000
0.7500 0.7500 0.7500
0.2500 0.2500 0.2500
0.0000 0.0000 0.0000
```